Here is a relaxed structure of Tb3Sm5Dy4 from the Alexandria database. Energies are from PBE.

Output
- E_form: 0.23 eV/atom
- Calculated volume: 798 Å³/cell
- Relative energy among the computed polymorphs: 212 meV/atom
- DFT total energy: -106.360 eV for the cell shown

Lattice parameters (Å, degrees): 16.200 5.919 9.303 90.00 116.48 90.00
Space group C2/m (No. 12)
Symmetry-distinct sites (fractional):
Tb 0.000 0.000 0.000
Tb 0.208 0.500 0.228
Sm 0.000 0.500 0.000
Sm 0.076 0.000 0.700
Sm 0.174 0.000 0.387
Dy 0.081 0.500 0.440
Dy 0.214 0.500 0.878



Here is a relaxed structure of Cd4NiTe from the Alexandria database. Energies are from PBE.

Output
- Raw formation energy: 0.41 eV/atom
- Calculated volume: 544 Å³/cell
- DFT total energy: -40.590 eV for the cell shown

Lattice parameters (Å, degrees): 8.165 8.165 8.165 90.00 90.00 90.00
Space group F-43m (No. 216)
Symmetry-distinct sites (fractional):
Cd 0.124 0.124 0.124
Ni 0.250 0.250 0.750
Te 0.000 0.000 0.500



Here is a relaxed structure of SrSc4Se from the Alexandria database. Energies are from PBE.

Output
- Raw formation energy: 0.23 eV/atom
- Calculated volume: 688 Å³/cell
- DFT total energy: -116.543 eV for the cell shown

Lattice parameters (Å, degrees): 8.829 8.829 8.829 90.00 90.00 90.00
Space group F-43m (No. 216)
Symmetry-distinct sites (fractional):
Sr 0.000 0.000 0.000
Sc 0.127 0.127 0.627
Se 0.250 0.250 0.250



Here is a relaxed structure of LiHoBi from the Alexandria database. Energies are from PBE.

Output
- E_form: -0.55 eV/atom
- Calculated volume: 73 Å³/cell
- Relative energy among the computed polymorphs: 41 meV/atom
- DFT total energy: -12.025 eV for the cell shown

Lattice parameters (Å, degrees): 4.5088 4.5088 4.1608 90.00 90.00 120.00
Space group P-6m2 (No. 187)
Symmetry-distinct sites (fractional):
Li 0.0000 0.0000 0.0000
Ho 0.3333 0.6667 0.5000
Bi 0.6667 0.3333 0.0000



Here is a relaxed structure of SrEuTlPb from the Alexandria database. Energies are from PBE.

Output
- E_form: -0.49 eV/atom
- Calculated volume: 536 Å³/cell
- DFT total energy: -79.929 eV for the cell shown

Lattice parameters (Å, degrees): 8.123 8.123 8.123 90.00 90.00 90.00
Space group F-43m (No. 216)
Symmetry-distinct sites (fractional):
Sr 0.000 0.000 0.000
Eu 0.000 0.000 0.500
Tl 0.250 0.250 0.750
Pb 0.250 0.250 0.250



Here is a relaxed structure of Sr2CdHg from the Alexandria database. Energies are from PBE.

Output
- E_form: -0.29 eV/atom
- Calculated volume: 457 Å³/cell
- DFT total energy: -17.167 eV for the cell shown

Lattice parameters (Å, degrees): 4.4440 4.4440 26.7094 90.00 90.00 120.00
Space group R3m (No. 160, hexagonal axes)
Symmetry-distinct sites (fractional):
Sr 0.0000 0.0000 0.0000
Sr 0.0000 0.0000 0.1732
Cd 0.0000 0.0000 0.4204
Hg 0.0000 0.0000 0.5864



Question: Which of these has the lowest calculated volume?
Answer: LiHoBi



Question: Number 2 is which compound?
Answer: Cd4NiTe



Question: What is the formula in the first record?
Answer: Tb3Sm5Dy4



Question: Which of these has the lowest DFT total energy?
Answer: SrSc4Se